--- A ---
First-principles (GGA-PBE) data for a relaxed structure of CaTi2Cd2, as listed in Alexandria via LeMat-Bulk.

Values from the calculation:
Its space group is P4/mbm. As for the density of states at the Fermi level: 7.04 states/eV per cell. Its calculated density is 5.43 g cm⁻³.

Lattice parameters (Å, degrees): 8.4631 8.4631 3.0814 90.00 90.00 90.00
Sites, in units of the cell vectors:
Ca (0.0000, 0.0000, 0.0000)
Ca (0.5000, 0.5000, 0.0000)
Ti (0.1062, 0.3938, 0.0000)
Ti (0.3938, 0.8938, 0.0000)
Ti (0.6062, 0.1062, 0.0000)
Ti (0.8938, 0.6062, 0.0000)
Cd (0.1855, 0.6855, 0.5000)
Cd (0.3145, 0.1855, 0.5000)
Cd (0.6855, 0.8145, 0.5000)
Cd (0.8145, 0.3145, 0.5000)

***

--- B ---
First-principles (GGA-PBE) data for a relaxed structure of CaTi2Cd2, as listed in Alexandria via LeMat-Bulk.

Values from the calculation:
Its space group is P4/mbm. As for the density of states at the Fermi level: 15.78 states/eV per cell. Its calculated density is 5.35 g cm⁻³.

Lattice parameters (Å, degrees): 8.3148 8.3148 3.2359 90.00 90.00 90.00
Sites, in units of the cell vectors:
Ca (0.0000, 0.0000, 0.0000)
Ca (0.5000, 0.5000, 0.0000)
Ti (0.1574, 0.3426, 0.5000)
Ti (0.3426, 0.8426, 0.5000)
Ti (0.6574, 0.1574, 0.5000)
Ti (0.8426, 0.6574, 0.5000)
Cd (0.1386, 0.6386, 0.0000)
Cd (0.3614, 0.1386, 0.0000)
Cd (0.6386, 0.8614, 0.0000)
Cd (0.8614, 0.3614, 0.0000)

***

Stability summary: most stable A, least stable B.

***

--- A ---
First-principles (GGA-PBE) data for a relaxed structure of Ca3TiCd, as listed in Alexandria via LeMat-Bulk.

Values from the calculation:
Its space group is Pm-3m. As for the density of states at the Fermi level: 55.14 states/eV per cell. Its calculated density is 2.39 g cm⁻³.

Lattice parameters (Å, degrees): 5.7992 5.7992 5.7992 90.00 90.00 90.00
Sites, in units of the cell vectors:
Ca (0.0000, 0.0000, 0.5000)
Ca (0.0000, 0.5000, 0.0000)
Ca (0.5000, 0.0000, 0.0000)
Ti (0.5000, 0.5000, 0.5000)
Cd (0.0000, 0.0000, 0.0000)

***

--- B ---
First-principles (GGA-PBE) data for a relaxed structure of Ca3TiCd, as listed in Alexandria via LeMat-Bulk.

Values from the calculation:
Its space group is Pm-3m. As for the density of states at the Fermi level: 6.13 states/eV per cell. Its calculated density is 2.34 g cm⁻³.

Lattice parameters (Å, degrees): 5.8410 5.8410 5.8410 90.00 90.00 90.00
Sites, in units of the cell vectors:
Ca (0.0000, 0.0000, 0.5000)
Ca (0.0000, 0.5000, 0.0000)
Ca (0.5000, 0.0000, 0.0000)
Ti (0.0000, 0.0000, 0.0000)
Cd (0.5000, 0.5000, 0.5000)

***

Stability summary: most stable B, least stable A.

***

--- A ---
First-principles (GGA-PBE) data for a relaxed structure of CaTi3Cd, as listed in Alexandria via LeMat-Bulk.

Values from the calculation:
Its space group is Pm-3m. As for the density of states at the Fermi level: 8.90 states/eV per cell. Its calculated density is 4.48 g cm⁻³.

Lattice parameters (Å, degrees): 4.7884 4.7884 4.7884 90.00 90.00 90.00
Sites, in units of the cell vectors:
Ca (0.0000, 0.0000, 0.0000)
Ti (0.0000, 0.0000, 0.5000)
Ti (0.0000, 0.5000, 0.0000)
Ti (0.5000, 0.0000, 0.0000)
Cd (0.5000, 0.5000, 0.5000)

***

--- B ---
First-principles (GGA-PBE) data for a relaxed structure of CaTi3Cd, as listed in Alexandria via LeMat-Bulk.

Values from the calculation:
Its space group is Pm-3m. As for the density of states at the Fermi level: 8.16 states/eV per cell. Its calculated density is 3.61 g cm⁻³.

Lattice parameters (Å, degrees): 5.1434 5.1434 5.1434 90.00 90.00 90.00
Sites, in units of the cell vectors:
Ca (0.0000, 0.0000, 0.0000)
Ti (0.0000, 0.5000, 0.5000)
Ti (0.5000, 0.0000, 0.5000)
Ti (0.5000, 0.5000, 0.0000)
Cd (0.5000, 0.5000, 0.5000)

***

Stability summary: most stable B, least stable A.

***

--- A ---
First-principles (GGA-PBE) data for a relaxed structure of Ca6Tl2Cd, as listed in Alexandria via LeMat-Bulk.

Values from the calculation:
Its space group is P-3m1. As for the density of states at the Fermi level: 6.02 states/eV per cell. Its calculated density is 4.38 g cm⁻³.

Lattice parameters (Å, degrees): 5.6282 5.6282 10.5228 90.00 90.00 120.00
Sites, in units of the cell vectors:
Ca (0.0000, 0.0000, 0.2018)
Ca (0.0000, 0.0000, 0.7982)
Ca (0.3333, 0.6667, 0.0558)
Ca (0.3333, 0.6667, 0.4109)
Ca (0.6667, 0.3333, 0.5891)
Ca (0.6667, 0.3333, 0.9442)
Tl (0.3333, 0.6667, 0.7415)
Tl (0.6667, 0.3333, 0.2585)
Cd (0.0000, 0.0000, 0.5000)

***

--- B ---
First-principles (GGA-PBE) data for a relaxed structure of Ca6Tl2Cd, as listed in Alexandria via LeMat-Bulk.

Values from the calculation:
Its space group is Pnnm. As for the density of states at the Fermi level: 12.58 states/eV per cell. Its calculated density is 4.31 g cm⁻³.

Lattice parameters (Å, degrees): 10.3618 10.3755 5.4572 90.00 90.00 90.00
Sites, in units of the cell vectors:
Ca (0.0289, 0.1903, 0.0000)
Ca (0.1227, 0.6211, 0.5000)
Ca (0.1898, 0.9696, 0.5000)
Ca (0.3102, 0.4696, 0.0000)
Ca (0.3773, 0.1211, 0.0000)
Ca (0.4711, 0.6903, 0.5000)
Ca (0.5289, 0.3097, 0.5000)
Ca (0.6227, 0.8789, 0.0000)
Ca (0.6898, 0.5304, 0.0000)
Ca (0.8102, 0.0304, 0.5000)
Ca (0.8773, 0.3789, 0.5000)
Ca (0.9711, 0.8097, 0.0000)
Tl (0.2065, 0.2918, 0.5000)
Tl (0.2935, 0.7918, 0.0000)
Tl (0.7065, 0.2082, 0.0000)
Tl (0.7935, 0.7082, 0.5000)
Cd (0.0000, 0.5000, 0.0000)
Cd (0.5000, 0.0000, 0.5000)

***

Stability summary: most stable B, least stable A.

***

--- A ---
First-principles (GGA-PBE) data for a relaxed structure of CaTlCd6, as listed in Alexandria via LeMat-Bulk.

Values from the calculation:
Its space group is Amm2. As for the density of states at the Fermi level: 3.23 states/eV per cell. Its calculated density is 7.65 g cm⁻³.

Lattice parameters (Å, degrees): 4.9907 6.4638 6.4638 73.08 90.00 90.00
Sites, in units of the cell vectors:
Ca (0.0000, 0.0000, 0.0000)
Tl (0.5000, 0.2310, 0.2310)
Cd (0.0000, 0.4258, 0.4258)
Cd (0.0000, 0.5171, 0.9074)
Cd (0.0000, 0.9074, 0.5171)
Cd (0.5000, 0.3095, 0.7179)
Cd (0.5000, 0.7179, 0.3095)
Cd (0.5000, 0.8013, 0.8013)

***

--- B ---
First-principles (GGA-PBE) data for a relaxed structure of CaTlCd6, as listed in Alexandria via LeMat-Bulk.

Values from the calculation:
Its space group is Pm-3. As for the density of states at the Fermi level: 2.97 states/eV per cell. Its calculated density is 7.22 g cm⁻³.

Lattice parameters (Å, degrees): 5.9567 5.9567 5.9567 90.00 90.00 90.00
Sites, in units of the cell vectors:
Ca (0.0000, 0.0000, 0.0000)
Tl (0.5000, 0.5000, 0.5000)
Cd (0.0000, 0.2493, 0.5000)
Cd (0.0000, 0.7507, 0.5000)
Cd (0.2493, 0.5000, 0.0000)
Cd (0.5000, 0.0000, 0.2493)
Cd (0.5000, 0.0000, 0.7507)
Cd (0.7507, 0.5000, 0.0000)

***

Stability summary: most stable A, least stable B.

***

--- A ---
First-principles (GGA-PBE) data for a relaxed structure of Ca4TlCd, as listed in Alexandria via LeMat-Bulk.

Values from the calculation:
Its space group is Pmmm. As for the density of states at the Fermi level: 5.23 states/eV per cell. Its calculated density is 3.79 g cm⁻³.

Lattice parameters (Å, degrees): 4.0225 5.8850 8.8239 90.00 90.00 90.00
Sites, in units of the cell vectors:
Ca (0.0000, 0.0000, 0.2048)
Ca (0.0000, 0.0000, 0.7952)
Ca (0.5000, 0.5000, 0.2953)
Ca (0.5000, 0.5000, 0.7047)
Tl (0.0000, 0.5000, 0.0000)
Cd (0.5000, 0.0000, 0.5000)

***

--- B ---
First-principles (GGA-PBE) data for a relaxed structure of Ca4TlCd, as listed in Alexandria via LeMat-Bulk.

Values from the calculation:
Its space group is C2/m. As for the density of states at the Fermi level: 9.71 states/eV per cell. Its calculated density is 3.56 g cm⁻³.

Lattice parameters (Å, degrees): 5.4246 5.4246 7.5718 90.10 90.10 90.00
Sites, in units of the cell vectors:
Ca (0.0000, 0.5005, 0.2429)
Ca (0.0000, 0.4995, 0.7571)
Ca (0.5005, 0.0000, 0.2429)
Ca (0.4995, 0.0000, 0.7571)
Tl (0.0000, 0.0000, 0.0000)
Cd (0.5000, 0.5000, 0.5000)

***

--- C ---
First-principles (GGA-PBE) data for a relaxed structure of Ca4TlCd, as listed in Alexandria via LeMat-Bulk.

Values from the calculation:
Its space group is F-43m. As for the density of states at the Fermi level: 7.39 states/eV per cell. Its calculated density is 3.57 g cm⁻³.

Lattice parameters (Å, degrees): 6.7985 6.7985 6.7985 60.00 60.00 60.00
Sites, in units of the cell vectors:
Ca (0.1252, 0.1252, 0.1252)
Ca (0.1252, 0.1252, 0.6245)
Ca (0.1252, 0.6245, 0.1252)
Ca (0.6245, 0.1252, 0.1252)
Tl (0.5000, 0.5000, 0.5000)
Cd (0.7500, 0.7500, 0.7500)

***

Stability summary: most stable A, least stable C.

***

--- A ---
First-principles (GGA-PBE) data for a relaxed structure of Ca2Tl3Cd, as listed in Alexandria via LeMat-Bulk.

Values from the calculation:
Its space group is Fmmm. As for the density of states at the Fermi level: 5.42 states/eV per cell. Its calculated density is 7.81 g cm⁻³.

Lattice parameters (Å, degrees): 10.3608 9.6526 6.3960 77.49 65.44 37.06
Sites, in units of the cell vectors:
Ca (0.2484, 0.7516, 0.7516)
Ca (0.2500, 0.2500, 0.2500)
Ca (0.7500, 0.7500, 0.7500)
Ca (0.7516, 0.2484, 0.2484)
Tl (0.1683, 0.1683, 0.8317)
Tl (0.1711, 0.6583, 0.3417)
Tl (0.3417, 0.8289, 0.1711)
Tl (0.6583, 0.1711, 0.8289)
Tl (0.8289, 0.3417, 0.6583)
Tl (0.8317, 0.8317, 0.1683)
Cd (0.3325, 0.3325, 0.6675)
Cd (0.6675, 0.6675, 0.3325)

***

--- B ---
First-principles (GGA-PBE) data for a relaxed structure of Ca2Tl3Cd, as listed in Alexandria via LeMat-Bulk.

Values from the calculation:
Its space group is Imma. As for the density of states at the Fermi level: 4.96 states/eV per cell. Its calculated density is 7.67 g cm⁻³.

Lattice parameters (Å, degrees): 9.3730 9.3730 9.3730 134.61 59.89 143.08
Sites, in units of the cell vectors:
Ca (0.3418, 0.0000, 0.8418)
Ca (0.3418, 0.5000, 0.3418)
Ca (0.6582, 0.0000, 0.1582)
Ca (0.6582, 0.5000, 0.6582)
Tl (0.1645, 0.7456, 0.4189)
Tl (0.1733, 0.2544, 0.9189)
Tl (0.2724, 0.0224, 0.2500)
Tl (0.7276, 0.9776, 0.7500)
Tl (0.8267, 0.7456, 0.0811)
Tl (0.8355, 0.2544, 0.5811)
Cd (0.2374, 0.4874, 0.7500)
Cd (0.7626, 0.5126, 0.2500)

***

Stability summary: most stable A, least stable B.

***

--- A ---
First-principles (GGA-PBE) data for a relaxed structure of CaTl4Cd2, as listed in Alexandria via LeMat-Bulk.

Values from the calculation:
Its space group is I4/mmm. As for the density of states at the Fermi level: 6.65 states/eV per cell. Its calculated density is 8.49 g cm⁻³.

Lattice parameters (Å, degrees): 6.5962 6.5962 6.5962 116.79 116.79 95.65
Sites, in units of the cell vectors:
Ca (0.0000, 0.0000, 0.0000)
Tl (0.0000, 0.0000, 0.5000)
Tl (0.0000, 0.5000, 0.0000)
Tl (0.5000, 0.0000, 0.0000)
Tl (0.5000, 0.5000, 0.5000)
Cd (0.0000, 0.5000, 0.5000)
Cd (0.5000, 0.0000, 0.5000)

***

--- B ---
First-principles (GGA-PBE) data for a relaxed structure of CaTl4Cd2, as listed in Alexandria via LeMat-Bulk.

Values from the calculation:
Its space group is R-3m. As for the density of states at the Fermi level: 3.67 states/eV per cell. Its calculated density is 8.92 g cm⁻³.

Lattice parameters (Å, degrees): 8.9053 8.9053 8.9053 34.44 34.44 34.44
Sites, in units of the cell vectors:
Ca (0.0000, 0.0000, 0.0000)
Tl (0.1357, 0.1357, 0.1357)
Tl (0.3928, 0.3928, 0.3928)
Tl (0.6072, 0.6072, 0.6072)
Tl (0.8643, 0.8643, 0.8643)
Cd (0.2614, 0.2614, 0.2614)
Cd (0.7386, 0.7386, 0.7386)

***

Stability summary: most stable B, least stable A.

***

--- A ---
First-principles (GGA-PBE) data for a relaxed structure of Ca3Tl4Cd4, as listed in Alexandria via LeMat-Bulk.

Values from the calculation:
Its space group is Immm. As for the density of states at the Fermi level: 4.28 states/eV per cell. Its calculated density is 7.43 g cm⁻³.

Lattice parameters (Å, degrees): 9.4054 9.4054 9.4054 150.97 129.34 59.45
Sites, in units of the cell vectors:
Ca (0.0000, 0.0000, 0.0000)
Ca (0.3771, 0.8771, 0.5000)
Ca (0.6229, 0.1229, 0.5000)
Tl (0.2253, 0.2253, 0.0000)
Tl (0.3093, 0.5000, 0.8093)
Tl (0.6907, 0.5000, 0.1907)
Tl (0.7747, 0.7747, 0.0000)
Cd (0.0240, 0.3325, 0.6916)
Cd (0.3591, 0.6675, 0.6916)
Cd (0.6409, 0.3325, 0.3084)
Cd (0.9760, 0.6675, 0.3084)

***

--- B ---
First-principles (GGA-PBE) data for a relaxed structure of Ca3Tl4Cd4, as listed in Alexandria via LeMat-Bulk.

Values from the calculation:
Its space group is P-1. As for the density of states at the Fermi level: 3.37 states/eV per cell. Its calculated density is 7.63 g cm⁻³.

Lattice parameters (Å, degrees): 3.7225 5.1336 16.0843 81.31 83.47 89.99
Sites, in units of the cell vectors:
Ca (0.0000, 0.0000, 0.0000)
Ca (0.1400, 0.6347, 0.7167)
Ca (0.8600, 0.3653, 0.2833)
Tl (0.3168, 0.8238, 0.3691)
Tl (0.4651, 0.4534, 0.0975)
Tl (0.5349, 0.5466, 0.9025)
Tl (0.6832, 0.1762, 0.6309)
Cd (0.2631, 0.2703, 0.4714)
Cd (0.4087, 0.9124, 0.1840)
Cd (0.5913, 0.0876, 0.8160)
Cd (0.7369, 0.7297, 0.5286)

***

Stability summary: most stable B, least stable A.

***

--- A ---
First-principles (GGA-PBE) data for a relaxed structure of Ca3TlCd, as listed in Alexandria via LeMat-Bulk.

Values from the calculation:
Its space group is Pm. As for the density of states at the Fermi level: 8.23 states/eV per cell. Its calculated density is 4.48 g cm⁻³.

Lattice parameters (Å, degrees): 6.9712 5.2730 8.8522 90.00 95.89 90.00
Sites, in units of the cell vectors:
Ca (0.0000, 0.0000, 0.0000)
Ca (0.0541, 0.5000, 0.7211)
Ca (0.2169, 0.0000, 0.4542)
Ca (0.3144, 0.5000, 0.1581)
Ca (0.4944, 0.0000, 0.8514)
Ca (0.6639, 0.0000, 0.2692)
Tl (0.7389, 0.5000, 0.0202)
Tl (0.8136, 0.0000, 0.6181)
Cd (0.5317, 0.5000, 0.5332)
Cd (0.9308, 0.5000, 0.3598)

***

--- B ---
First-principles (GGA-PBE) data for a relaxed structure of Ca3TlCd, as listed in Alexandria via LeMat-Bulk.

Values from the calculation:
Its space group is Pm-3m. As for the density of states at the Fermi level: 6.89 states/eV per cell. Its calculated density is 3.40 g cm⁻³.

Lattice parameters (Å, degrees): 5.9734 5.9734 5.9734 90.00 90.00 90.00
Sites, in units of the cell vectors:
Ca (0.0000, 0.0000, 0.5000)
Ca (0.0000, 0.5000, 0.0000)
Ca (0.5000, 0.0000, 0.0000)
Tl (0.0000, 0.0000, 0.0000)
Cd (0.5000, 0.5000, 0.5000)

***

Stability summary: most stable A, least stable B.

***

--- A ---
First-principles (GGA-PBE) data for a relaxed structure of CaTl5Cd, as listed in Alexandria via LeMat-Bulk.

Values from the calculation:
Its space group is Immm. As for the density of states at the Fermi level: 5.09 states/eV per cell. Its calculated density is 6.39 g cm⁻³.

Lattice parameters (Å, degrees): 8.0048 8.0048 8.0048 137.38 114.82 81.05
Sites, in units of the cell vectors:
Ca (0.0000, 0.0000, 0.0000)
Tl (0.1747, 0.5000, 0.6747)
Tl (0.2575, 0.2575, 0.0000)
Tl (0.5000, 0.0000, 0.5000)
Tl (0.7425, 0.7425, 0.0000)
Tl (0.8253, 0.5000, 0.3253)
Cd (0.5000, 0.5000, 0.0000)

***

--- B ---
First-principles (GGA-PBE) data for a relaxed structure of CaTl5Cd, as listed in Alexandria via LeMat-Bulk.

Values from the calculation:
Its space group is P4/mmm. As for the density of states at the Fermi level: 3.08 states/eV per cell. Its calculated density is 9.26 g cm⁻³.

Lattice parameters (Å, degrees): 5.2657 5.2657 7.5992 90.00 90.00 90.00
Sites, in units of the cell vectors:
Ca (0.0000, 0.0000, 0.0000)
Tl (0.0000, 0.5000, 0.2779)
Tl (0.0000, 0.5000, 0.7221)
Tl (0.5000, 0.0000, 0.2779)
Tl (0.5000, 0.0000, 0.7221)
Tl (0.5000, 0.5000, 0.0000)
Cd (0.0000, 0.0000, 0.5000)

***

Stability summary: most stable B, least stable A.